No. 1
Pm2MnRe3: relaxed, PBE.

```
Pm2MnRe3
1.0
4.726 -0.140 -2.479
-3.006 4.407 -0.230
-0.068 0.245 5.603
Re Mn Pm
3 1 2
direct
0.500 0.500 0.500
0.500 0.000 0.500
0.000 0.000 0.500
0.000 0.000 0.000
0.752 0.376 0.129
0.248 0.624 0.871
```

Summary:
spin magnetization = 2.938 μB/f.u.
SG = R-3m (166)
formation enthalpy at 0 K = -0.017 eV/atom
density = 13.0 g cm⁻³
crystal system = trigonal

No. 2
PmMnRe: relaxed, PBE.

```
PmMnRe
1.0
5.418 -0.170 0.010
-2.792 4.646 -0.010
2.589 1.489 4.523
Pm Re Mn
2 2 2
direct
0.750 0.877 0.373
0.250 0.123 0.627
0.500 0.000 0.000
0.000 0.500 0.000
0.000 0.500 0.500
0.500 0.500 0.000
```

Summary:
spin magnetization = 1.984 μB/f.u.
SG = Imma (74)
formation enthalpy at 0 K = 0.066 eV/atom
density = 11.5 g cm⁻³
crystal system = orthorhombic

No. 3
PmMnRh4: relaxed, PBE.

```
PmMnRh4
1.0
-0.011 3.551 -3.896
1.353 -1.444 -4.886
-3.662 -0.249 -3.783
Rh Pm Mn
4 1 1
direct
0.624 0.624 0.624
0.624 0.624 0.127
0.624 0.127 0.624
0.127 0.624 0.624
0.000 0.000 0.000
0.250 0.250 0.250
```

Summary:
spin magnetization = 4.899 μB/f.u.
SG = F-43m (216)
formation enthalpy at 0 K = -0.293 eV/atom
density = 9.8 g cm⁻³
crystal system = cubic